(1)
Here is crystalline Ce5SmSe8 at its relaxed geometry from the Alexandria database. Energies are from PBE.

Its formation energy (no corrections) is -1845 meV/atom. The density comes out at 6.97 Mg/m³.

The space group is I-4 (No. 82) and the conventional cell measures 8.895, 8.895 and 8.930 Å, with angles of 90.00, 90.00 and 90.00 degrees. The inequivalent atoms are Ce at (0.000, 0.000, 0.000), Ce at (0.125, 0.750, 0.374), Sm at (0.000, 0.500, 0.750), Se at (0.075, 0.824, 0.701) and Se at (0.076, 0.674, 0.048).

(2)
Here is crystalline PrTmCu4 at its relaxed geometry from the Alexandria database. Energies are from PBE.

The calculation puts the calculated formation energy at -0.124 eV/atom. The density comes out at 8.86 Mg/m³.

The space group is F-43m (No. 216) and the conventional cell measures 7.506, 7.506 and 7.506 Å, with angles of 90.00, 90.00 and 90.00 degrees. The inequivalent atoms are Pr at (0.000, 0.000, 0.000), Tm at (0.250, 0.250, 0.750) and Cu at (0.124, 0.124, 0.376).